## CdW2O (GGA+U)

Data for an optimized crystal structure of CdW2O.

abc: 4.4397 4.4397 4.4397
angles: 60.00 60.00 60.00
Atoms (fractional coordinates):
Cd1 0.0000 0.0000 0.0000
W1 0.2500 0.2500 0.2500
W2 0.7500 0.7500 0.7500
O1 0.5000 0.5000 0.5000

Computed properties:
E above lowest polymorph = 84.09 kJ/mol of atoms
D(E_F) = 1.033 states/eV/cell
crystal system = cubic
energy = -3.550 eV per atom